(1)
GGA-PBE CaCeDy2In4, optimized geometry; DOS(E_F) = 9.3 states/eV/cell; formation enthalpy at 0 K = -0.424 eV/atom; M_tot = 0.1113 μB/atom
1.0
-3.693 -0.410 3.876
-4.664 -2.470 -0.986
0.762 -8.682 3.527
In Ce Ca Dy
4 1 1 2
direct
0.875 0.875 0.375
0.125 0.125 0.625
0.625 0.625 0.125
0.375 0.375 0.875
0.500 0.500 0.500
0.000 0.000 0.000
0.748 0.748 0.756
0.252 0.252 0.244



(2)
GGA-PBE CaCeDyLu, optimized geometry; DOS(E_F) = 8.8 states/eV/cell; formation enthalpy at 0 K = 0.240 eV/atom; M_tot = 0.4609 μB/atom
1.0
-4.490 2.837 2.105
-5.230 -2.277 -0.333
-2.605 -1.877 4.726
Lu Ca Dy Ce
1 1 1 1
direct
0.500 0.500 0.500
0.250 0.250 0.250
0.000 0.000 0.000
0.750 0.750 0.750



(3)
GGA-PBE CaCeDyMg, optimized geometry; DOS(E_F) = 9.7 states/eV/cell; formation enthalpy at 0 K = 0.182 eV/atom; M_tot = 0.3297 μB/atom
1.0
-3.663 3.521 2.408
-5.279 0.304 -1.910
-4.231 -2.030 3.097
Mg Ca Ce Dy
1 1 1 1
direct
0.000 0.000 0.000
0.750 0.750 0.750
0.250 0.250 0.250
0.500 0.500 0.500



(4)
GGA-PBE CaCeDy2N4, optimized geometry; M_tot = 0.0000 μB/atom; formation energy from raw total energies = -34.08 kcal/mol of atoms
1.0
-2.998 0.720 -1.711
-2.476 -5.022 2.224
-1.102 4.554 3.846
Dy Ce N Ca
2 1 4 1
direct
0.000 0.500 0.500
0.500 0.000 0.500
0.000 0.000 0.000
0.500 0.754 0.744
0.000 0.770 0.255
0.000 0.230 0.745
0.500 0.246 0.256
0.500 0.500 0.000



(5)
GGA-PBE Ca3Ce2DyP6, optimized geometry; DOS(E_F) = 12.3 states/eV/cell; formation enthalpy at 0 K = -1.270 eV/atom; M_tot = 0.0000 μB/atom
1.0
7.138 -0.003 0.000
-3.570 6.181 0.000
-1.191 -2.062 6.642
Ca P Ce Dy
3 6 2 1
direct
0.166 0.834 0.500
0.500 0.500 0.500
0.834 0.166 0.500
0.743 0.743 0.234
0.078 0.413 0.234
0.413 0.078 0.234
0.587 0.922 0.766
0.257 0.257 0.766
0.922 0.587 0.766
0.667 0.333 0.000
0.333 0.667 0.000
0.000 0.000 0.000



(6)
GGA-PBE CaCeDy2P4, optimized geometry; DOS(E_F) = 0.4 states/eV/cell; formation enthalpy at 0 K = -1.443 eV/atom; M_tot = 0.0146 μB/atom
1.0
4.066 0.000 0.000
0.000 6.984 0.142
0.000 -2.424 6.595
P Dy Ca Ce
4 2 1 1
direct
0.000 0.240 0.745
0.500 0.247 0.253
0.000 0.760 0.255
0.500 0.753 0.747
0.000 0.500 0.500
0.500 0.000 0.500
0.500 0.500 0.000
0.000 0.000 0.000



(7)
GGA-PBE CaCePmDy, optimized geometry; DOS(E_F) = 10.8 states/eV/cell; formation enthalpy at 0 K = 0.242 eV/atom; M_tot = 0.5417 μB/atom
1.0
-4.490 2.934 2.202
-2.056 -1.358 5.248
0.808 3.621 4.456
Pm Ca Dy Ce
1 1 1 1
direct
0.000 0.000 0.000
0.250 0.250 0.250
0.500 0.500 0.500
0.750 0.750 0.750



(8)
GGA-PBE CaCeDy2S4, optimized geometry; DOS(E_F) = 7.0 states/eV/cell; M_tot = 0.1148 μB/atom; formation energy from raw total energies = -46.75 kcal/mol of atoms
1.0
-1.333 1.814 3.238
-0.306 -6.033 3.253
6.022 -1.190 3.146
Dy S Ca Ce
2 4 1 1
direct
0.500 0.000 0.500
0.000 0.000 0.000
0.500 0.243 0.750
0.000 0.241 0.257
0.000 0.759 0.743
0.500 0.757 0.250
0.000 0.500 0.500
0.500 0.500 0.000



(9)
GGA-PBE CaCe2DySb4, optimized geometry; DOS(E_F) = 8.7 states/eV/cell; M_tot = 0.1230 μB/atom; formation energy from raw total energies = -23.92 kcal/mol of atoms
1.0
-1.685 3.198 -2.667
-4.709 2.228 5.646
3.504 5.458 4.332
Ce Sb Dy Ca
2 4 1 1
direct
0.500 0.000 0.500
0.000 0.000 0.000
0.000 0.246 0.256
0.500 0.252 0.745
0.500 0.748 0.255
0.000 0.754 0.744
0.000 0.500 0.500
0.500 0.500 0.000



(10)
GGA-PBE Ca2CeDySb4, optimized geometry; DOS(E_F) = 6.6 states/eV/cell; M_tot = 0.0000 μB/atom; formation energy from raw total energies = -21.98 kcal/mol of atoms
1.0
-2.872 -2.449 -2.446
5.541 -1.187 -5.317
0.251 -5.615 5.326
Dy Sb Ca Ce
1 4 2 1
direct
0.500 0.500 0.000
0.000 0.745 0.238
0.000 0.255 0.762
0.500 0.753 0.762
0.500 0.247 0.238
0.000 0.500 0.500
0.500 0.000 0.500
0.000 0.000 0.000



(11)
GGA-PBE CaCe3Dy2Se6, optimized geometry; DOS(E_F) = 19.7 states/eV/cell; M_tot = 0.2817 μB/atom; formation energy from raw total energies = -41.87 kcal/mol of atoms
1.0
7.160 -0.004 0.000
-3.582 6.200 0.000
-1.194 -2.067 6.888
Ce Se Dy Ca
3 6 2 1
direct
0.500 0.500 0.500
0.834 0.166 0.500
0.166 0.834 0.500
0.256 0.256 0.762
0.585 0.920 0.761
0.080 0.415 0.239
0.415 0.080 0.239
0.744 0.744 0.238
0.920 0.585 0.761
0.667 0.333 0.000
0.333 0.667 0.000
0.000 0.000 0.000



(12)
GGA-PBE Ca4CeDy3Se8, optimized geometry; DOS(E_F) = 9.8 states/eV/cell; M_tot = 0.0931 μB/atom; formation energy from raw total energies = -43.07 kcal/mol of atoms
1.0
8.250 0.000 0.000
0.000 8.365 0.075
-4.125 -4.121 5.837
Se Dy Ca Ce
8 3 4 1
direct
0.256 0.251 0.003
0.253 0.749 0.997
0.747 0.251 0.003
0.748 0.744 0.496
0.252 0.256 0.504
0.747 0.251 0.494
0.253 0.749 0.506
0.744 0.749 0.997
0.500 0.500 0.000
0.000 0.500 0.500
0.500 0.500 0.500
0.500 0.000 0.500
0.500 0.000 0.000
0.000 0.000 0.500
0.000 0.000 0.000
0.000 0.500 0.000